Density functional theory data (PBEsol) for a geometry-optimized Sm2Mg structure.

Its space group is Cmcm, No. 63. Its total magnetization is 0.00 μB/cell. The volume is 29.0 Å³ per atom. The polymorph energy (0 for the lowest one) is 0 meV per atom. Its formation energy from the elements is -5.52 kJ/mol of atoms.

abc: 3.7201 5.4883 8.7321
angles: 90.00 102.30 90.00
Last column: nearest neighbours and their distance in Å.
Fractional positions:
Mg1 0.4317 0.2500 0.8635  8 Sm 3.27-3.34, 2 Mg 3.60
Sm1 0.7713 0.2500 0.5425  2 Mg 3.31, 8 Sm 3.39-3.63
Sm2 0.0897 0.2500 0.1794  6 Mg 3.27-3.34, 4 Sm 3.61-3.63
Sm3 0.9103 0.7500 0.8206  6 Mg 3.27-3.34, 4 Sm 3.61-3.63
Sm4 0.2287 0.7500 0.4575  2 Mg 3.31, 8 Sm 3.39-3.63
Mg2 0.5683 0.7500 0.1365  8 Sm 3.27-3.34, 2 Mg 3.60

Density functional theory data (PBEsol) for a geometry-optimized SmMg5 structure.

Its space group is C2/m, No. 12. Its total magnetization is 0.00 μB/cell. The volume is 24.1 Å³ per atom. Its formation energy from the elements is -4.63 kJ/mol of atoms.

abc: 4.8417 5.4194 6.4051
angles: 103.90 90.00 116.53
Last column: nearest neighbours and their distance in Å.
Fractional positions:
Mg1 0.3182 0.6364 0.6754  8 Mg 2.99-3.33
Mg2 0.6818 0.3636 0.3246  8 Mg 2.99-3.33
Sm1 0.0000 0.0000 0.0000  12 Mg 3.20-3.37
Mg3 0.6517 0.3034 0.8057  7 Mg 3.12-3.26, 3 Sm 3.25-3.27
Mg4 0.0000 0.0000 0.5000  6 Mg 2.99-3.21, 2 Sm 3.20
Mg5 0.3483 0.6966 0.1943  7 Mg 3.12-3.26, 3 Sm 3.25-3.27

Density functional theory data (PBEsol) for a geometry-optimized SmMg structure.

Its space group is Pm-3m, No. 221. Its total magnetization is 0.00 μB/cell. The volume is 27.2 Å³ per atom. Its formation energy from the elements is -9.10 kJ/mol of atoms.

abc: 3.7904 3.7904 3.7904
angles: 90.00 90.00 90.00
Last column: nearest neighbours and their distance in Å.
Fractional positions:
Mg1 0.0000 0.0000 0.0000  8 Sm 3.28
Sm1 0.5000 0.5000 0.5000  8 Mg 3.28